Here is an optimized crystal structure of Sm4ErCd3 from Alexandria via LeMat-Bulk. Energies are from PBE.

Calculated values
space-group type: Pmmm
energy: -3.460 eV/atom
DOS(E_F): 1.452 states/eV per atom
theoretical density: 7.99 Mg/m³
spin magnetization: 0.04 μB/f.u.

Cell and atoms, written as POSCAR:
```
Sm4ErCd3
1.0
3.775 0.000 0.000
0.000 5.482 0.000
0.000 0.000 11.102
Sm Er Cd
4 1 3
Direct
0.000 0.000 0.000 Sm
0.000 0.000 0.500 Sm
0.000 0.500 0.239 Sm
0.000 0.500 0.761 Sm
0.500 0.500 0.500 Er
0.500 0.000 0.253 Cd
0.500 0.000 0.747 Cd
0.500 0.500 0.000 Cd
```